Model i:
A plane-wave DFT calculation with GGA-PBE was carried out for crystalline Al2NiAg2 at its relaxed geometry.

The value obtained for the density of states at the Fermi level is 0.269 states/eV/atom.

It has space group P4/mbm (No. 127), with a = 7.3214 Å, b = 7.3214 Å, c = 2.9922 Å, α = 90.00°, β = 90.00° and γ = 90.00°. The asymmetric unit holds Al at (0.1686, 0.3314, 0.0000), Ni at (0.0000, 0.0000, 0.5000) and Ag at (0.1350, 0.6350, 0.5000).

***

Model ii:
A plane-wave DFT calculation with GGA-PBE was carried out for crystalline Al2NiAg2 at its relaxed geometry.

The value obtained for the density of states at the Fermi level is 0.334 states/eV/atom.

It has space group P4/mbm (No. 127), with a = 6.2165 Å, b = 6.2165 Å, c = 4.2179 Å, α = 90.00°, β = 90.00° and γ = 90.00°. The asymmetric unit holds Al at (0.1533, 0.3467, 0.0000), Ni at (0.0000, 0.0000, 0.0000) and Ag at (0.1633, 0.6633, 0.5000).

***

Stability check: which of them is least stable? model i.

***

Model i:
A plane-wave DFT calculation with GGA-PBE was carried out for crystalline NpAl2Ag at its relaxed geometry.

The value obtained for the density of states at the Fermi level is 1.976 states/eV/atom.

It has space group Fm-3m (No. 225), with a = 6.8097 Å, b = 6.8097 Å, c = 6.8097 Å, α = 90.00°, β = 90.00° and γ = 90.00°. The asymmetric unit holds Np at (0.0000, 0.0000, 0.0000), Al at (0.2500, 0.2500, 0.2500) and Ag at (0.0000, 0.0000, 0.5000).

***

Model ii:
A plane-wave DFT calculation with GGA-PBE was carried out for crystalline NpAl2Ag at its relaxed geometry.

The value obtained for the density of states at the Fermi level is 2.152 states/eV/atom.

It has space group P4/mmm (No. 123), with a = 4.3542 Å, b = 4.3542 Å, c = 4.2954 Å, α = 90.00°, β = 90.00° and γ = 90.00°. The asymmetric unit holds Np at (0.0000, 0.0000, 0.0000), Al at (0.0000, 0.5000, 0.5000) and Ag at (0.5000, 0.5000, 0.0000).

***

Stability check: which of them is least stable? model ii.

***

Model i:
A plane-wave DFT calculation with GGA-PBE was carried out for crystalline NpAl2Ag at its relaxed geometry.

The value obtained for the density of states at the Fermi level is 1.042 states/eV/atom.

It has space group P4/mmm (No. 123), with a = 2.7330 Å, b = 2.7330 Å, c = 9.1031 Å, α = 90.00°, β = 90.00° and γ = 90.00°. The asymmetric unit holds Np at (0.0000, 0.0000, 0.0000), Al at (0.5000, 0.5000, 0.2597) and Ag at (0.0000, 0.0000, 0.5000).

***

Model ii:
A plane-wave DFT calculation with GGA-PBE was carried out for crystalline NpAl2Ag at its relaxed geometry.

The value obtained for the density of states at the Fermi level is 0.918 states/eV/atom.

It has space group R-3m (No. 166, hexagonal axes), with a = 2.8734 Å, b = 2.8734 Å, c = 29.8884 Å, α = 90.00°, β = 90.00° and γ = 120.00°. The asymmetric unit holds Np at (0.0000, 0.0000, 0.0000), Al at (0.0000, 0.0000, 0.2448) and Ag at (0.0000, 0.0000, 0.5000).

***

Stability check: which of them is least stable? model i.